[1]
The following is a DFT calculation (PBE-GGA) of a geometry-optimized KTl3Br structure.

Computed properties:
space-group type: Pm-3m
electronic total energy: -10.53 eV/cell
formation energy (no corrections): -12.8 kJ/mol of atoms
relative energy among the computed polymorphs: 0.0 meV/atom
density of states at the Fermi level: 2.7 states/eV/f.u.
calculated density: 5.2 g/cm3

Unit cell a=6.165 b=6.165 c=6.165 alpha=90.00 beta=90.00 gamma=90.00
Positions (direct):
K (0.000, 0.000, 0.000)
Tl (0.000, 0.500, 0.500)
Tl (0.500, 0.000, 0.500)
Tl (0.500, 0.500, 0.000)
Br (0.500, 0.500, 0.500)

[2]
The following is a DFT calculation (PBE-GGA) of a geometry-optimized BaLiEu structure.

Computed properties:
space-group type: P3m1
electronic total energy: -13.71 eV/cell
formation energy from the elements: 0.135 eV/atom
relative energy among the computed polymorphs: 71.0 meV/atom
density of states at the Fermi level: 10.9 states/eV/f.u.
calculated density: 3.7 g/cm3

Unit cell a=6.091 b=6.091 c=4.095 alpha=90.00 beta=90.00 gamma=120.00
Positions (direct):
Ba (0.000, 0.000, 0.000)
Li (0.333, 0.667, 0.388)
Eu (0.667, 0.333, 0.554)

- The lowest electronic total energy belongs to which entry?
  BaLiEu